ScTcAu2 | PBE-GGA | optimized geometry

Cell and atoms, written as POSCAR:
```
ScTcAu2
1.0
1.516 0.875 9.060
-1.516 0.875 9.060
0.000 -1.751 9.060
Sc Tc Au
1 1 2
direct
0.000 0.000 0.000 Sc
0.745 0.745 0.745 Tc
0.249 0.249 0.249 Au
0.493 0.493 0.493 Au
```

Output
For the formation energy, the calculation gives 6 kJ/mol of atoms. For the energy above the most stable polymorph in this dataset, the calculation gives 299 meV/atom.

Sm2Ho8Mg | PBE-GGA | optimized geometry

Cell and atoms, written as POSCAR:
```
Sm2Ho8Mg
1.0
-2.737 3.835 8.316
2.737 -3.835 8.316
2.737 3.835 -8.316
Sm Ho Mg
2 8 1
direct
0.196 0.196 0.000 Sm
0.804 0.804 0.000 Sm
0.086 0.364 0.722 Ho
0.230 0.000 0.230 Ho
0.326 0.826 0.500 Ho
0.358 0.636 0.722 Ho
0.642 0.364 0.278 Ho
0.674 0.174 0.500 Ho
0.770 0.000 0.770 Ho
0.914 0.636 0.278 Ho
0.500 0.500 0.000 Mg
```

Output
For the formation energy, the calculation gives 10 kJ/mol of atoms. For the energy above the most stable polymorph in this dataset, the calculation gives 0 meV/atom.

Y3TmCd2 | PBE-GGA | optimized geometry

Cell and atoms, written as POSCAR:
```
Y3TmCd2
1.0
3.642 0.000 0.000
0.000 3.642 0.000
0.000 0.000 12.780
Y Tm Cd
3 1 2
direct
0.000 0.000 0.000 Y
0.000 0.000 0.310 Y
0.000 0.000 0.690 Y
0.500 0.500 0.500 Tm
0.500 0.500 0.153 Cd
0.500 0.500 0.847 Cd
```

Output
For the formation energy, the calculation gives -20 kJ/mol of atoms. For the energy above the most stable polymorph in this dataset, the calculation gives 27 meV/atom.

Y3Pt | PBE-GGA | optimized geometry

Cell and atoms, written as POSCAR:
```
Y3Pt
1.0
3.782 0.000 0.000
0.000 6.777 0.000
0.000 0.000 9.122
Y Pt
6 2
direct
0.250 0.002 0.168 Y
0.250 0.250 0.548 Y
0.250 0.498 0.168 Y
0.750 0.502 0.832 Y
0.750 0.750 0.452 Y
0.750 0.998 0.832 Y
0.250 0.750 0.683 Pt
0.750 0.250 0.317 Pt
```

Output
For the formation energy, the calculation gives -54 kJ/mol of atoms.

NaCaCl2 | PBE-GGA | optimized geometry

Cell and atoms, written as POSCAR:
```
NaCaCl2
1.0
0.000 3.627 3.627
3.627 0.000 3.627
3.627 3.627 0.000
Na Ca Cl
1 1 2
direct
0.000 0.000 0.000 Na
0.500 0.500 0.500 Ca
0.250 0.250 0.250 Cl
0.750 0.750 0.750 Cl
```

Output
The formation energy (no corrections) comes out at -1.3787 eV per atom. For the energy above the most stable polymorph in this dataset, the calculation gives 331 meV/atom.

CdSn3Pd2 | PBE-GGA | optimized geometry

Cell and atoms, written as POSCAR:
```
CdSn3Pd2
1.0
6.424 -4.457 0.000
6.424 4.457 0.000
0.000 0.000 4.743
Cd Sn Pd
2 6 4
direct
0.138 0.862 0.750 Cd
0.862 0.138 0.250 Cd
0.127 0.369 0.250 Sn
0.369 0.127 0.750 Sn
0.400 0.600 0.250 Sn
0.600 0.400 0.750 Sn
0.631 0.873 0.250 Sn
0.873 0.631 0.750 Sn
0.018 0.741 0.250 Pd
0.259 0.982 0.250 Pd
0.741 0.018 0.750 Pd
0.982 0.259 0.750 Pd
```

Output
For the formation energy, the calculation gives -27 kJ/mol of atoms.

Pr5Y2Tm | PBE-GGA | optimized geometry

Cell and atoms, written as POSCAR:
```
Pr5Y2Tm
1.0
7.289 0.000 0.000
0.000 14.598 0.000
0.000 0.000 5.168
Pr Y Tm
10 4 2
direct
0.000 0.000 0.000 Pr
0.002 0.252 0.000 Pr
0.247 0.624 0.500 Pr
0.253 0.124 0.500 Pr
0.498 0.752 0.000 Pr
0.500 0.500 0.000 Pr
0.502 0.248 0.000 Pr
0.747 0.876 0.500 Pr
0.753 0.376 0.500 Pr
0.998 0.748 0.000 Pr
0.249 0.877 0.500 Y
0.251 0.377 0.500 Y
0.749 0.623 0.500 Y
0.751 0.123 0.500 Y
0.000 0.500 0.000 Tm
0.500 0.000 0.000 Tm
```

Output
For the formation energy, the calculation gives 2 kJ/mol of atoms. For the energy above the most stable polymorph in this dataset, the calculation gives 0 meV/atom.

Sr2CaAgHg6 | PBE-GGA | optimized geometry

Cell and atoms, written as POSCAR:
```
Sr2CaAgHg6
1.0
0.000 5.590 5.590
5.590 0.000 5.590
5.590 5.590 0.000
Sr Ca Ag Hg
2 1 1 6
direct
0.250 0.250 0.250 Sr
0.750 0.750 0.750 Sr
0.000 0.000 0.000 Ca
0.500 0.500 0.500 Ag
0.257 0.257 0.743 Hg
0.257 0.743 0.257 Hg
0.257 0.743 0.743 Hg
0.743 0.257 0.257 Hg
0.743 0.257 0.743 Hg
0.743 0.743 0.257 Hg
```

Output
For the formation energy, the calculation gives -12 kJ/mol of atoms.

KTc2Sb | PBE-GGA | optimized geometry

Cell and atoms, written as POSCAR:
```
KTc2Sb
1.0
1.550 0.895 9.902
-1.550 0.895 9.902
0.000 -1.789 9.902
K Tc Sb
1 2 1
direct
0.000 0.000 0.000 K
0.234 0.234 0.234 Tc
0.766 0.766 0.766 Tc
0.500 0.500 0.500 Sb
```

Output
The formation energy (no corrections) comes out at 0.8839 eV per atom.

HgAsN2 | PBE-GGA | optimized geometry

Cell and atoms, written as POSCAR:
```
HgAsN2
1.0
1.497 0.864 6.917
-1.497 0.864 6.917
0.000 -1.729 6.917
Hg As N
1 1 2
direct
0.000 0.000 0.000 Hg
0.500 0.500 0.500 As
0.118 0.118 0.118 N
0.882 0.882 0.882 N
```

Output
The formation energy (no corrections) comes out at 0.7473 eV per atom. For the energy above the most stable polymorph in this dataset, the calculation gives 0 meV/atom.

ScTl2Cr4 | PBE-GGA | optimized geometry

Cell and atoms, written as POSCAR:
```
ScTl2Cr4
1.0
-2.304 2.304 7.419
2.304 -2.304 7.419
2.304 2.304 -7.419
Sc Tl Cr
1 2 4
direct
0.000 0.000 0.000 Sc
0.373 0.373 0.000 Tl
0.627 0.627 0.000 Tl
0.000 0.500 0.500 Cr
0.183 0.183 0.000 Cr
0.500 0.000 0.500 Cr
0.817 0.817 0.000 Cr
```

Output
For the formation energy, the calculation gives 116 kJ/mol of atoms.

SmRh4Pb | PBE-GGA | optimized geometry

Cell and atoms, written as POSCAR:
```
SmRh4Pb
1.0
0.000 3.789 3.789
3.789 0.000 3.789
3.789 3.789 0.000
Sm Rh Pb
1 4 1
direct
0.000 0.000 0.000 Sm
0.376 0.376 0.376 Rh
0.376 0.376 0.873 Rh
0.376 0.873 0.376 Rh
0.873 0.376 0.376 Rh
0.750 0.750 0.750 Pb
```

Output
For the formation energy, the calculation gives -37 kJ/mol of atoms.

DyTmSc | PBE-GGA | optimized geometry

Cell and atoms, written as POSCAR:
```
DyTmSc
1.0
6.119 0.000 0.000
0.000 3.365 0.000
0.000 0.000 8.563
Dy Tm Sc
2 2 2
direct
0.250 0.000 0.188 Dy
0.750 0.000 0.812 Dy
0.000 0.500 0.500 Tm
0.500 0.500 0.500 Tm
0.250 0.500 0.853 Sc
0.750 0.500 0.147 Sc
```

Output
For the formation energy, the calculation gives 23 kJ/mol of atoms. For the energy above the most stable polymorph in this dataset, the calculation gives 219 meV/atom.

Ho4AlTl2 | PBE-GGA | optimized geometry

Cell and atoms, written as POSCAR:
```
Ho4AlTl2
1.0
5.440 0.000 0.000
0.000 6.588 0.000
-1.973 0.000 10.646
Ho Al Tl
8 2 4
direct
0.126 0.250 0.123 Ho
0.234 0.750 0.440 Ho
0.331 0.010 0.733 Ho
0.331 0.490 0.733 Ho
0.669 0.510 0.267 Ho
0.669 0.990 0.267 Ho
0.766 0.250 0.560 Ho
0.874 0.750 0.877 Ho
0.102 0.750 0.171 Al
0.898 0.250 0.829 Al
0.218 0.250 0.422 Tl
0.427 0.750 0.006 Tl
0.573 0.250 0.994 Tl
0.782 0.750 0.578 Tl
```

Output
For the formation energy, the calculation gives -22 kJ/mol of atoms. For the energy above the most stable polymorph in this dataset, the calculation gives 0 meV/atom.

Tm2ZnGaRu2 | PBE-GGA | optimized geometry

Cell and atoms, written as POSCAR:
```
Tm2ZnGaRu2
1.0
-2.835 6.964 2.846
2.835 -6.964 2.846
2.835 6.964 -2.846
Tm Zn Ga Ru
4 2 2 4
direct
0.171 0.242 0.413 Tm
0.329 0.742 0.071 Tm
0.671 0.258 0.929 Tm
0.829 0.758 0.587 Tm
0.250 0.250 0.000 Zn
0.750 0.750 0.000 Zn
0.250 0.750 0.500 Ga
0.750 0.250 0.500 Ga
0.120 0.738 0.858 Ru
0.380 0.238 0.618 Ru
0.620 0.762 0.382 Ru
0.880 0.262 0.142 Ru
```

Output
For the formation energy, the calculation gives -39 kJ/mol of atoms.

CsP2PdO8 | PBE-GGA | optimized geometry

Cell and atoms, written as POSCAR:
```
CsP2PdO8
1.0
4.888 0.000 0.000
-2.444 4.233 0.000
0.000 0.000 9.251
Cs P Pd O
1 2 1 8
direct
0.000 0.000 0.000 Cs
0.333 0.667 0.681 P
0.667 0.333 0.319 P
0.000 0.000 0.500 Pd
0.041 0.351 0.628 O
0.310 0.959 0.628 O
0.333 0.667 0.846 O
0.351 0.310 0.372 O
0.649 0.690 0.628 O
0.667 0.333 0.154 O
0.690 0.041 0.372 O
0.959 0.649 0.372 O
```

Output
The formation energy (no corrections) comes out at -1.5705 eV per atom.

Tb3Sm8Tm3 | PBE-GGA | optimized geometry

Cell and atoms, written as POSCAR:
```
Tb3Sm8Tm3
1.0
-2.824 5.416 7.521
2.824 -5.416 7.521
2.824 5.416 -7.521
Tb Sm Tm
3 8 3
direct
0.000 0.000 0.000 Tb
0.180 0.680 0.500 Tb
0.820 0.320 0.500 Tb
0.119 0.277 0.842 Sm
0.235 0.897 0.338 Sm
0.435 0.277 0.158 Sm
0.442 0.103 0.338 Sm
0.558 0.897 0.662 Sm
0.565 0.723 0.842 Sm
0.765 0.103 0.662 Sm
0.881 0.723 0.158 Sm
0.200 0.500 0.700 Tm
0.500 0.500 0.000 Tm
0.800 0.500 0.300 Tm
```

Output
For the formation energy, the calculation gives 10 kJ/mol of atoms.

CaWSeN2 | PBE-GGA | optimized geometry

Cell and atoms, written as POSCAR:
```
CaWSeN2
1.0
3.993 0.000 0.000
0.000 3.993 0.000
0.000 0.000 5.215
Ca W Se N
1 1 1 2
direct
0.000 0.000 0.000 Ca
0.500 0.500 0.500 W
0.500 0.500 0.000 Se
0.000 0.500 0.500 N
0.500 0.000 0.500 N
```

Output
The formation energy (no corrections) comes out at -0.4705 eV per atom. For the energy above the most stable polymorph in this dataset, the calculation gives 0 meV/atom.

Cs2TlRhO4 | PBE-GGA | optimized geometry

Cell and atoms, written as POSCAR:
```
Cs2TlRhO4
1.0
0.000 6.448 11.009
3.287 0.000 11.009
3.287 6.448 0.000
Cs Tl Rh O
4 2 2 8
direct
0.060 0.060 0.690 Cs
0.310 0.310 0.940 Cs
0.690 0.690 0.060 Cs
0.940 0.940 0.310 Cs
0.125 0.125 0.125 Tl
0.875 0.875 0.875 Tl
0.375 0.375 0.375 Rh
0.625 0.625 0.625 Rh
0.045 0.640 0.531 O
0.284 0.531 0.640 O
0.360 0.955 0.716 O
0.469 0.716 0.955 O
0.531 0.284 0.045 O
0.640 0.045 0.284 O
0.716 0.469 0.360 O
0.955 0.360 0.469 O
```

Output
The formation energy (no corrections) comes out at -0.7889 eV per atom.

Zn2SbF2 | PBE-GGA | optimized geometry

Cell and atoms, written as POSCAR:
```
Zn2SbF2
1.0
-2.118 2.118 4.677
2.118 -2.118 4.677
2.118 2.118 -4.677
Zn Sb F
2 1 2
direct
0.250 0.750 0.500 Zn
0.750 0.250 0.500 Zn
0.000 0.000 0.000 Sb
0.330 0.330 0.000 F
0.670 0.670 0.000 F
```

Output
The formation energy (no corrections) comes out at -0.8054 eV per atom. For the energy above the most stable polymorph in this dataset, the calculation gives 0 meV/atom.

AcPmPrSn | PBE-GGA | optimized geometry

Cell and atoms, written as POSCAR:
```
AcPmPrSn
1.0
0.000 4.019 4.019
4.019 0.000 4.019
4.019 4.019 0.000
Ac Pm Pr Sn
1 1 1 1
direct
0.000 0.000 0.000 Ac
0.250 0.250 0.250 Pm
0.750 0.750 0.750 Pr
0.500 0.500 0.500 Sn
```

Output
For the formation energy, the calculation gives -21 kJ/mol of atoms.

In2SbMo | PBE-GGA | optimized geometry

Cell and atoms, written as POSCAR:
```
In2SbMo
1.0
1.598 0.923 10.127
-1.598 0.923 10.127
0.000 -1.845 10.127
In Sb Mo
2 1 1
direct
0.241 0.241 0.241 In
0.759 0.759 0.759 In
0.000 0.000 0.000 Sb
0.500 0.500 0.500 Mo
```

Output
The formation energy (no corrections) comes out at 0.4492 eV per atom.

MnInFePt | PBE-GGA | optimized geometry

Cell and atoms, written as POSCAR:
```
MnInFePt
1.0
0.000 3.133 3.133
3.133 0.000 3.133
3.133 3.133 0.000
Mn In Fe Pt
1 1 1 1
direct
0.000 0.000 0.000 Mn
0.500 0.500 0.500 In
0.750 0.750 0.750 Fe
0.250 0.250 0.250 Pt
```

Output
For the formation energy, the calculation gives -5 kJ/mol of atoms.

Ba3CaCd | PBE-GGA | optimized geometry

Cell and atoms, written as POSCAR:
```
Ba3CaCd
1.0
6.699 0.000 0.000
0.000 6.699 0.000
0.000 0.000 6.699
Ba Ca Cd
3 1 1
direct
0.000 0.000 0.500 Ba
0.000 0.500 0.000 Ba
0.500 0.000 0.000 Ba
0.500 0.500 0.500 Ca
0.000 0.000 0.000 Cd
```

Output
For the formation energy, the calculation gives 6 kJ/mol of atoms. For the energy above the most stable polymorph in this dataset, the calculation gives 143 meV/atom.

NaSr2Zn2 | PBE-GGA | optimized geometry

Cell and atoms, written as POSCAR:
```
NaSr2Zn2
1.0
-3.114 3.114 4.402
3.114 -3.114 4.402
3.114 3.114 -4.402
Na Sr Zn
1 2 2
direct
0.000 0.000 0.000 Na
0.250 0.750 0.500 Sr
0.750 0.250 0.500 Sr
0.363 0.363 0.000 Zn
0.637 0.637 0.000 Zn
```

Output
For the formation energy, the calculation gives -2 kJ/mol of atoms. For the energy above the most stable polymorph in this dataset, the calculation gives 128 meV/atom.

Number 1: final energy -23.0 eV for the cell shown. Number 2: final energy -46.5 eV for the cell shown. Number 3: final energy -26.9 eV for the cell shown. Number 4: final energy -55.4 eV for the cell shown. Number 5: final energy -12.5 eV for the cell shown. Number 6: final energy -50.0 eV for the cell shown. Number 7: final energy -82.3 eV for the cell shown. Number 8: final energy -11.3 eV for the cell shown. Number 9: final energy -22.4 eV for the cell shown. Number 10: final energy -18.6 eV for the cell shown. Number 11: final energy -41.1 eV for the cell shown. Number 12: final energy -40.1 eV for the cell shown. Number 13: final energy -29.4 eV for the cell shown. Number 14: final energy -56.7 eV for the cell shown. Number 15: final energy -68.5 eV for the cell shown. Number 16: final energy -75.4 eV for the cell shown. Number 17: final energy -63.5 eV for the cell shown. Number 18: final energy -37.4 eV for the cell shown. Number 19: final energy -75.1 eV for the cell shown. Number 20: final energy -14.4 eV for the cell shown. Number 21: final energy -18.5 eV for the cell shown. Number 22: final energy -18.6 eV for the cell shown. Number 23: final energy -26.6 eV for the cell shown. Number 24: final energy -8.4 eV for the cell shown. Number 25: final energy -7.3 eV for the cell shown.